GGA+U Sr2TaCoO6, relaxed; SG = P1; excess energy over the best structure of this formula in the dataset = 0 meV per atom
1.0
5.6042 -0.0118 -0.0111
-2.8173 4.8448 0.0105
-2.7068 1.5697 18.3001
O Ta Sr Co
24 4 8 4
Cartesian
-0.0471 4.9446 16.9940
1.1866 2.3888 3.6490
-1.2702 4.0007 14.6662
-2.8089 3.2973 12.5228
4.4251 0.7335 5.5909
1.4619 3.8300 1.2334
-1.4159 2.5131 17.0355
-0.0122 1.6801 8.0015
1.3432 2.5052 17.2678
-4.2001 5.6924 12.7150
0.1596 1.5384 14.8825
0.0712 1.3852 1.2613
-1.4275 5.6912 12.5221
-1.6238 2.3561 3.3106
2.9937 3.1931 5.8243
-0.2019 4.7829 3.3565
-1.3055 3.8359 0.9313
0.1477 4.7869 10.3515
1.5755 3.9923 14.8743
-1.3993 4.0636 8.2129
-1.2300 2.3907 10.3633
1.5397 2.3889 10.1652
1.3583 4.0596 7.9801
1.6292 0.7606 5.8832
2.8806 1.6123 11.4292
-2.7510 4.8320 6.9379
-0.0349 3.1552 2.2907
0.0676 3.2093 15.9413
0.0851 3.2286 12.5444
-2.7288 4.8034 17.0856
-2.8337 4.7664 3.4702
-2.7421 4.8580 10.3352
2.7598 1.5392 1.1088
0.0290 3.2096 5.7944
2.8732 1.6113 14.8052
2.8833 1.6042 8.0537
-2.7315 4.8420 13.7039
0.0646 3.2277 9.1758
2.8019 1.5716 4.5937
0.0695 6.3733 18.2753